(1)
# Sr2CaCdMo

A relaxed structure of Sr2CaCdMo (PBE, Alexandria).

Total DFT energy (no corrections): -2.67 eV per atom
Total moment: 4.3 μB/f.u.
E_form: 753.0 meV/atom

abc: 6.1868 6.1868 5.4248
angles: 90.00 90.00 90.00
With the nearest neighbours (Å) after each atom.
Space group P4/mmm (No. 123)
Symmetry-distinct sites (fractional):
Sr 0.0000 0.5000 0.0000 x2  2 Cd 3.09
Ca 0.0000 0.0000 0.5000 x1  8 Sr 4.11, 4 Mo 4.37
Cd 0.5000 0.5000 0.0000 x1  2 Mo 2.71
Mo 0.5000 0.5000 0.5000 x1  2 Cd 2.71

---

(2)
# Na2CoH5

A relaxed structure of Na2CoH5 (PBE, Alexandria).

Total DFT energy (no corrections): -3.38 eV per atom
Total moment: 0.1 μB/f.u.

abc: 5.1778 5.1778 6.3120
angles: 90.00 90.00 90.00
With the nearest neighbours (Å) after each atom.
Space group I4mm (No. 107)
Symmetry-distinct sites (fractional):
Na 0.0000 0.5000 0.0000 x4  10 H 2.42-2.59
Co 0.0000 0.0000 0.2532 x2  5 H 1.44-1.55
H 0.0000 0.0000 0.4819 x2  1 Co 1.44
H 0.2122 0.2122 0.2523 x8  1 Co 1.55

---

(3)
# Ba2ZnHg16

A relaxed structure of Ba2ZnHg16 (PBE, Alexandria).

Total DFT energy (no corrections): -0.71 eV per atom
Total moment: 0.0 μB/f.u.
E_form: -186.5 meV/atom

abc: 10.3660 10.3660 17.1285
angles: 90.00 90.00 120.00
With the nearest neighbours (Å) after each atom.
Space group R3m (No. 160, hexagonal axes)
Symmetry-distinct sites (fractional):
Ba 0.0000 0.0000 0.0000 x3  15 Hg 3.68-3.84
Ba 0.0000 0.0000 0.3210 x3  13 Hg 3.50-3.68
Zn 0.0000 0.0000 0.6952 x3  4 Hg 2.81-2.91
Hg 0.0000 0.0000 0.5311 x3  1 Zn 2.81, 3 Hg 3.04
Hg 0.0013 0.2971 0.6421 x18  6 Hg 3.05-3.39, 1 Zn 3.21
Hg 0.1823 0.3645 0.1170 x9  5 Hg 3.04-3.23
Hg 0.2018 0.4037 0.8366 x9  6 Hg 3.06-3.24
Hg 0.2176 0.4351 0.4811 x9  1 Zn 2.91, 2 Hg 3.17